Record 1
Entry from Alexandria: an optimized crystal structure of ZnRe2Au (GGA-PBE).

Unit cell a=5.3577 b=5.3577 c=5.3577 alpha=146.60 beta=132.38 gamma=59.41
Sites, in units of the cell vectors:
Zn  0.0000  0.0000  0.0000
Re  0.2395  0.7395  0.5000
Re  0.7605  0.2605  0.5000
Au  0.5000  0.5000  0.0000

Summary:
The symmetry is Immm. The crystal system is orthorhombic. For the energy relative to the elements, the calculation gives 0.43 eV/atom.


Record 2
Entry from Alexandria: an optimized crystal structure of NpTl3Ag2S6 (GGA-PBE).

Unit cell a=6.9928 b=6.9928 c=7.6230 alpha=97.02 beta=97.02 gamma=124.69
Sites, in units of the cell vectors:
Np  0.0000  0.0000  0.0000
Tl  0.1784  0.8216  0.5000
Tl  0.5000  0.5000  0.5000
Tl  0.8216  0.1784  0.5000
Ag  0.3698  0.6302  0.0000
Ag  0.6302  0.3698  0.0000
S  0.0872  0.3812  0.1880
S  0.2108  0.2108  0.7609
S  0.3812  0.0872  0.1880
S  0.6188  0.9128  0.8120
S  0.7892  0.7892  0.2391
S  0.9128  0.6188  0.8120

Summary:
As for the raw formation energy: -0.44 eV per atom. The symmetry is C2/m. The crystal system is monoclinic.


Record 3
Entry from Alexandria: an optimized crystal structure of Li2MnHRh (GGA-PBE).

Unit cell a=3.7224 b=3.7224 c=3.9506 alpha=90.00 beta=90.00 gamma=90.00
Sites, in units of the cell vectors:
Li  0.0000  0.5000  0.0000
Li  0.5000  0.0000  0.0000
Mn  0.0000  0.0000  0.5000
H  0.0000  0.0000  0.0000
Rh  0.5000  0.5000  0.5000

Summary:
The symmetry is P4/mmm. The crystal system is tetragonal.


Record 4
Entry from Alexandria: an optimized crystal structure of YZr4Mn (GGA-PBE).

Unit cell a=5.9136 b=5.9136 c=5.9136 alpha=60.00 beta=60.00 gamma=60.00
Sites, in units of the cell vectors:
Y  0.0000  0.0000  0.0000
Zr  0.1227  0.6258  0.6258
Zr  0.6258  0.1227  0.6258
Zr  0.6258  0.6258  0.1227
Zr  0.6258  0.6258  0.6258
Mn  0.2500  0.2500  0.2500

Summary:
The symmetry is F-43m. The crystal system is cubic. For the energy relative to the elements, the calculation gives 0.43 eV/atom.


For the records above, the corresponding size of the total moment values read 0.000; 0.032; 0.800; 0.528 μB per atom.
For the records above, the corresponding VASP energy values read -6.94; -4.65; -4.81; -7.87 eV/atom.